1.
The following is a DFT calculation (PBE) of a relaxed Pr3DyY2Tm6 crystal.

Calculated values
crystal system = monoclinic
final energy = -0.179 hartree per atom
ΔH_f (0 K) = 26.3 meV per atom
density = 7.7 g/cm3

```
Pr3DyY2Tm6
1.0
3.094 -5.356 0.000
3.094 5.356 0.000
-2.056 0.000 11.560
Pr Dy Y Tm
3 1 2 6
Direct
0.000 0.000 0.000
0.333 0.667 0.000
0.667 0.333 0.000
0.500 0.500 0.500
0.167 0.833 0.500
0.833 0.167 0.500
0.085 0.418 0.254
0.249 0.249 0.747
0.418 0.085 0.254
0.582 0.915 0.746
0.751 0.751 0.253
0.915 0.582 0.746
```



2.
The following is a DFT calculation (PBE) of a relaxed Na3Pb4Au2 crystal.

Calculated values
crystal system = triclinic
final energy = -0.109 hartree per atom
ΔH_f (0 K) = -137.6 meV per atom
density = 9.4 g/cm3

```
Na3Pb4Au2
1.0
5.027 0.000 0.000
-2.501 4.495 0.000
-0.041 -0.555 10.101
Na Pb Au
3 4 2
Direct
0.000 0.000 0.000
0.331 0.664 0.455
0.669 0.336 0.545
0.002 0.001 0.674
0.336 0.670 0.124
0.664 0.330 0.876
0.998 0.999 0.326
0.332 0.663 0.766
0.668 0.337 0.234
```



3.
The following is a DFT calculation (PBE) of a relaxed PaMn2Fe crystal.

Calculated values
crystal system = tetragonal
final energy = -0.331 hartree per atom
energy relative to the lowest polymorph listed for this composition = 0.008 eV per atom
ΔH_f (0 K) = 69.7 meV per atom
density = 10.9 g/cm3

```
PaMn2Fe
1.0
3.749 0.000 0.000
0.000 3.749 0.000
0.000 0.000 4.309
Pa Mn Fe
1 2 1
Direct
0.000 0.000 0.000
0.000 0.500 0.500
0.500 0.000 0.500
0.500 0.500 0.000
```



4.
The following is a DFT calculation (PBE) of a relaxed TlRuPt2 crystal.

Calculated values
crystal system = monoclinic
final energy = -0.209 hartree per atom
energy relative to the lowest polymorph listed for this composition = 0.021 eV per atom
ΔH_f (0 K) = 243.5 meV per atom
density = 17.1 g/cm3

```
TlRuPt2
1.0
4.675 -1.517 0.000
4.675 1.517 0.000
-0.876 0.000 4.768
Tl Ru Pt
1 1 2
Direct
0.000 0.000 0.000
0.500 0.500 0.500
0.243 0.243 0.730
0.757 0.757 0.270
```



5.
The following is a DFT calculation (PBE) of a relaxed HfAg2GeSe crystal.

Calculated values
crystal system = tetragonal
final energy = -0.158 hartree per atom
raw formation energy = 0.46 eV/atom
density = 7.5 g/cm3

```
HfAg2GeSe
1.0
4.872 0.000 0.000
0.000 4.872 0.000
0.000 0.000 5.062
Hf Ag Ge Se
1 2 1 1
Direct
0.000 0.000 0.000
0.000 0.500 0.500
0.500 0.000 0.500
0.500 0.500 0.000
0.000 0.000 0.500
```



6.
The following is a DFT calculation (PBE) of a relaxed CrC2Br4 crystal.

Calculated values
crystal system = tetragonal
final energy = -0.137 hartree per atom
raw formation energy = 1.25 eV/atom
density = 2.6 g/cm3

```
CrC2Br4
1.0
-2.483 2.483 10.278
2.483 -2.483 10.278
2.483 2.483 -10.278
Cr C Br
1 2 4
Direct
0.000 0.000 0.000
0.296 0.296 0.000
0.704 0.704 0.000
0.000 0.500 0.500
0.208 0.208 0.000
0.500 0.000 0.500
0.792 0.792 0.000
```



- Look up the density of the third one.
  10.9 g/cm3



- What is the density in the fifth record?
  7.5 g/cm3